#a
## YZr2Ir2 (PBE)

Data for a geometry-optimized YZr2Ir2 structure.

The space group is P4/mbm (No. 127) and the conventional cell measures 7.719, 7.719 and 3.459 Å, with angles of 90.00, 90.00 and 90.00 degrees. The asymmetric unit holds Y at (0.000, 0.000, 0.000), Zr at (0.158, 0.342, 0.500) and Ir at (0.134, 0.634, 0.000).

The crystal system is tetragonal. For the density of states at the Fermi level, the calculation gives 1.335 states/eV per atom. The calculation puts the theoretical density at 10.57 g cm⁻³.

#b
## YZr2Ir2 (PBE)

Data for a geometry-optimized YZr2Ir2 structure.

The space group is P4/mbm (No. 127) and the conventional cell measures 8.110, 8.110 and 3.052 Å, with angles of 90.00, 90.00 and 90.00 degrees. The asymmetric unit holds Y at (0.000, 0.000, 0.000), Zr at (0.142, 0.358, 0.000) and Ir at (0.154, 0.654, 0.500).

The crystal system is tetragonal. For the density of states at the Fermi level, the calculation gives 0.584 states/eV per atom. The calculation puts the theoretical density at 10.85 g cm⁻³.

Stability summary - winner: #a; margin: 0.058 eV/atom.

#a
## YZr2Ir2 (PBE)

Data for a geometry-optimized YZr2Ir2 structure.

The space group is I4/mmm (No. 139) and the conventional cell measures 4.514, 4.514 and 10.987 Å, with angles of 90.00, 90.00 and 90.00 degrees. The asymmetric unit holds Y at (0.000, 0.000, 0.000), Zr at (0.000, 0.500, 0.250) and Ir at (0.000, 0.000, 0.384).

The crystal system is tetragonal. For the density of states at the Fermi level, the calculation gives 0.699 states/eV per atom. The calculation puts the theoretical density at 9.73 g cm⁻³.

#b
## YZr2Ir2 (PBE)

Data for a geometry-optimized YZr2Ir2 structure.

The space group is I4/mmm (No. 139) and the conventional cell measures 4.196, 4.196 and 13.129 Å, with angles of 90.00, 90.00 and 90.00 degrees. The asymmetric unit holds Y at (0.000, 0.000, 0.000), Zr at (0.000, 0.000, 0.373) and Ir at (0.000, 0.500, 0.250).

The crystal system is tetragonal. For the density of states at the Fermi level, the calculation gives 2.343 states/eV per atom. The calculation puts the theoretical density at 9.42 g cm⁻³.

Stability summary - winner: #a; margin: 0.532 eV/atom.

#a
## YZr3Ir2 (PBE)

Data for a geometry-optimized YZr3Ir2 structure.

The space group is C2/m (No. 12) and the conventional cell measures 15.318, 4.790 and 7.711 Å, with angles of 90.00, 114.49 and 90.00 degrees. The asymmetric unit holds Y at (0.135, 0.000, 0.205), Zr at (0.063, 0.000, 0.721), Zr at (0.112, 0.500, 0.504), Zr at (0.203, 0.500, 0.990), Ir at (0.017, 0.500, 0.849) and Ir at (0.218, 0.000, 0.626).

The crystal system is monoclinic. For the density of states at the Fermi level, the calculation gives 0.624 states/eV per atom. The calculation puts the theoretical density at 9.64 g cm⁻³.

#b
## YZr3Ir2 (PBE)

Data for a geometry-optimized YZr3Ir2 structure.

The space group is Pmc2_1 (No. 26) and the conventional cell measures 4.541, 8.281 and 6.884 Å, with angles of 90.00, 90.00 and 90.00 degrees. The asymmetric unit holds Y at (0.000, 0.072, 0.000), Zr at (0.000, 0.336, 0.637), Zr at (0.500, 0.176, 0.341), Zr at (0.500, 0.424, 0.979), Ir at (0.000, 0.345, 0.246) and Ir at (0.500, 0.168, 0.733).

The crystal system is orthorhombic. For the density of states at the Fermi level, the calculation gives 0.980 states/eV per atom. The calculation puts the theoretical density at 9.58 g cm⁻³.

Stability summary - winner: #b; margin: 0.123 eV/atom.

#a
## Zn4Ir5 (PBE)

Data for a geometry-optimized Zn4Ir5 structure.

The space group is P6_3/mcm (No. 193) and the conventional cell measures 7.5554, 7.5554 and 5.2279 Å, with angles of 90.00, 90.00 and 120.00 degrees. The asymmetric unit holds Zn at (0.0000, 0.0000, 0.0000), Zn at (0.0000, 0.3510, 0.2500), Ir at (0.0000, 0.3166, 0.7500) and Ir at (0.3333, 0.6667, 0.0000).

The crystal system is hexagonal. For the density of states at the Fermi level, the calculation gives 0.711 states/eV per atom. The calculation puts the theoretical density at 15.71 g cm⁻³.

#b
## Zn4Ir5 (PBE)

Data for a geometry-optimized Zn4Ir5 structure.

The space group is I4/mmm (No. 139) and the conventional cell measures 8.168, 8.168 and 3.937 Å, with angles of 90.00, 90.00 and 90.00 degrees. The asymmetric unit holds Zn at (0.000, 0.322, 0.000), Ir at (0.000, 0.000, 0.000) and Ir at (0.166, 0.166, 0.500).

The crystal system is tetragonal. For the density of states at the Fermi level, the calculation gives 0.915 states/eV per atom. The calculation puts the theoretical density at 15.46 g cm⁻³.

Stability summary - winner: #b; margin: 0.046 eV/atom.

#a
## Zn3Ir2 (PBE)

Data for a geometry-optimized Zn3Ir2 structure.

The space group is Fdd2 (No. 43) and the conventional cell measures 8.887, 12.902 and 4.981 Å, with angles of 90.00, 90.00 and 90.00 degrees. The asymmetric unit holds Zn at (0.000, 0.000, 0.000), Zn at (0.046, 0.397, 0.033) and Ir at (0.030, 0.300, 0.566).

The crystal system is orthorhombic. For the density of states at the Fermi level, the calculation gives 0.686 states/eV per atom. The calculation puts the theoretical density at 13.51 g cm⁻³.

#b
## Zn3Ir2 (PBE)

Data for a geometry-optimized Zn3Ir2 structure.

The space group is P-3m1 (No. 164) and the conventional cell measures 4.2694, 4.2694 and 5.1223 Å, with angles of 90.00, 90.00 and 120.00 degrees. The asymmetric unit holds Zn at (0.0000, 0.0000, 0.0000), Zn at (0.3333, 0.6667, 0.3721) and Ir at (0.3333, 0.6667, 0.8664).

The crystal system is trigonal. For the density of states at the Fermi level, the calculation gives 0.491 states/eV per atom. The calculation puts the theoretical density at 11.92 g cm⁻³.

Stability summary - winner: #a; margin: 0.023 eV/atom.

#a
## Zr4ZnIr (PBE)

Data for a geometry-optimized Zr4ZnIr structure.

The space group is F-43m (No. 216) and the conventional cell measures 7.879, 7.879 and 7.879 Å, with angles of 90.00, 90.00 and 90.00 degrees. The asymmetric unit holds Zr at (0.124, 0.124, 0.124), Zn at (0.000, 0.000, 0.500) and Ir at (0.250, 0.250, 0.750).

The crystal system is cubic. For the density of states at the Fermi level, the calculation gives 1.249 states/eV per atom. The calculation puts the theoretical density at 8.45 g cm⁻³.

#b
## Zr4ZnIr (PBE)

Data for a geometry-optimized Zr4ZnIr structure.

The space group is P4/mmm (No. 123) and the conventional cell measures 4.555, 4.555 and 6.519 Å, with angles of 90.00, 90.00 and 90.00 degrees. The asymmetric unit holds Zr at (0.000, 0.500, 0.245), Zn at (0.000, 0.000, 0.500) and Ir at (0.500, 0.500, 0.000).

The crystal system is tetragonal. For the density of states at the Fermi level, the calculation gives 0.847 states/eV per atom. The calculation puts the theoretical density at 7.64 g cm⁻³.

#c
## Zr4ZnIr (PBE)

Data for a geometry-optimized Zr4ZnIr structure.

The space group is I422 (No. 97) and the conventional cell measures 6.716, 6.716 and 5.349 Å, with angles of 90.00, 90.00 and 90.00 degrees. The asymmetric unit holds Zr at (0.160, 0.340, 0.250), Zn at (0.000, 0.000, 0.500) and Ir at (0.000, 0.000, 0.000).

The crystal system is tetragonal. For the density of states at the Fermi level, the calculation gives 1.250 states/eV per atom. The calculation puts the theoretical density at 8.57 g cm⁻³.

Stability summary - winner: #c; margin: 0.229 eV/atom.

#a
## Zr3Ir2 (PBE)

Data for a geometry-optimized Zr3Ir2 structure.

The space group is Fdd2 (No. 43) and the conventional cell measures 9.484, 14.191 and 5.692 Å, with angles of 90.00, 90.00 and 90.00 degrees. The asymmetric unit holds Zr at (0.000, 0.000, 0.000), Zr at (0.009, 0.387, 0.996) and Ir at (0.006, 0.303, 0.504).

The crystal system is orthorhombic. For the density of states at the Fermi level, the calculation gives 1.001 states/eV per atom. The calculation puts the theoretical density at 11.41 g cm⁻³.

#b
## Zr3Ir2 (PBE)

Data for a geometry-optimized Zr3Ir2 structure.

The space group is P-3m1 (No. 164) and the conventional cell measures 4.5704, 4.5704 and 5.7270 Å, with angles of 90.00, 90.00 and 120.00 degrees. The asymmetric unit holds Zr at (0.0000, 0.0000, 0.0000), Zr at (0.3333, 0.6667, 0.3422) and Ir at (0.3333, 0.6667, 0.8280).

The crystal system is trigonal. For the density of states at the Fermi level, the calculation gives 0.565 states/eV per atom. The calculation puts the theoretical density at 10.55 g cm⁻³.

Stability summary - winner: #b; margin: 0.141 eV/atom.

#a
## ZrIr4 (PBE)

Data for a geometry-optimized ZrIr4 structure.

The space group is Imma (No. 74) and the conventional cell measures 4.228, 5.593 and 13.432 Å, with angles of 90.00, 90.00 and 90.00 degrees. The asymmetric unit holds Zr at (0.000, 0.250, 0.107), Ir at (0.000, 0.000, 0.500), Ir at (0.000, 0.013, 0.697) and Ir at (0.000, 0.250, 0.894).

The crystal system is orthorhombic. For the density of states at the Fermi level, the calculation gives 1.187 states/eV per atom. The calculation puts the theoretical density at 17.99 g cm⁻³.

#b
## ZrIr4 (PBE)

Data for a geometry-optimized ZrIr4 structure.

The space group is Im-3m (No. 229) and the conventional cell measures 5.842, 5.842 and 5.842 Å, with angles of 90.00, 90.00 and 90.00 degrees. The asymmetric unit holds Zr at (0.000, 0.000, 0.000) and Ir at (0.250, 0.250, 0.250).

The crystal system is cubic. For the density of states at the Fermi level, the calculation gives 1.792 states/eV per atom. The calculation puts the theoretical density at 14.33 g cm⁻³.

Stability summary - winner: #a; margin: 1.532 eV/atom.

#a
## Zr3Ir4 (PBE)

Data for a geometry-optimized Zr3Ir4 structure.

The space group is R-3 (No. 148, hexagonal axes) and the conventional cell measures 12.3523, 12.3523 and 5.6223 Å, with angles of 90.00, 90.00 and 120.00 degrees. The asymmetric unit holds Zr at (0.0396, 0.8220, 0.2268), Ir at (0.0000, 0.0000, 0.0000), Ir at (0.0000, 0.0000, 0.5000) and Ir at (0.0438, 0.7904, 0.7168).

The crystal system is trigonal. For the density of states at the Fermi level, the calculation gives 0.696 states/eV per atom. The calculation puts the theoretical density at 13.98 g cm⁻³.

#b
## Zr3Ir4 (PBE)

Data for a geometry-optimized Zr3Ir4 structure.

The space group is P6/mmm (No. 191) and the conventional cell measures 5.5804, 5.5804 and 4.7985 Å, with angles of 90.00, 90.00 and 120.00 degrees. The asymmetric unit holds Zr at (0.0000, 0.5000, 0.0000), Ir at (0.0000, 0.0000, 0.2563) and Ir at (0.3333, 0.6667, 0.5000).

The crystal system is hexagonal. For the density of states at the Fermi level, the calculation gives 1.666 states/eV per atom. The calculation puts the theoretical density at 13.38 g cm⁻³.

#c
## Zr3Ir4 (PBE)

Data for a geometry-optimized Zr3Ir4 structure.

The space group is I4/mmm (No. 139) and the conventional cell measures 3.601, 3.601 and 20.065 Å, with angles of 90.00, 90.00 and 90.00 degrees. The asymmetric unit holds Zr at (0.000, 0.000, 0.000), Zr at (0.000, 0.000, 0.301), Ir at (0.000, 0.000, 0.156) and Ir at (0.000, 0.000, 0.433).

The crystal system is tetragonal. For the density of states at the Fermi level, the calculation gives 0.998 states/eV per atom. The calculation puts the theoretical density at 13.30 g cm⁻³.

Stability summary - winner: #a; margin: 0.359 eV/atom.

#a
## K (PBE)

Data for a geometry-optimized K structure.

The space group is P6_3/mmc (No. 194) and the conventional cell measures 8.6524, 8.6524 and 13.7754 Å, with angles of 90.00, 90.00 and 120.00 degrees. The asymmetric unit holds K at (0.0000, 0.0000, 0.0000), K at (0.1718, 0.3437, 0.2500) and K at (0.3333, 0.6667, 0.5641).

The crystal system is hexagonal. For the density of states at the Fermi level, the calculation gives 0.871 states/eV per atom. The calculation puts the theoretical density at 0.87 g cm⁻³.

#b
## K (PBE)

Data for a geometry-optimized K structure.

The space group is I4/mmm (No. 139) and the conventional cell measures 4.677, 4.677 and 6.564 Å, with angles of 90.00, 90.00 and 90.00 degrees. The asymmetric unit holds K at (0.000, 0.000, 0.000).

The crystal system is tetragonal. For the density of states at the Fermi level, the calculation gives 0.829 states/eV per atom. The calculation puts the theoretical density at 0.90 g cm⁻³.

#c
## K (PBE)

Data for a geometry-optimized K structure.

The space group is P6_3/mmc (No. 194) and the conventional cell measures 7.2071, 7.2071 and 7.7160 Å, with angles of 90.00, 90.00 and 120.00 degrees. The asymmetric unit holds K at (0.0000, 0.0000, 0.2500) and K at (0.3333, 0.6667, 0.2500).

The crystal system is hexagonal. For the density of states at the Fermi level, the calculation gives 0.888 states/eV per atom. The calculation puts the theoretical density at 0.75 g cm⁻³.

Stability summary - winner: #b; margin: 0.026 eV/atom.

#a
## K (PBE)

Data for a geometry-optimized K structure.

The space group is P4/mmm (No. 123) and the conventional cell measures 6.029, 6.029 and 11.250 Å, with angles of 90.00, 90.00 and 90.00 degrees. The asymmetric unit holds K at (0.000, 0.000, 0.000) and K at (0.000, 0.500, 0.310).

The crystal system is tetragonal. For the density of states at the Fermi level, the calculation gives 0.651 states/eV per atom. The calculation puts the theoretical density at 0.79 g cm⁻³.

#b
## K (PBE)

Data for a geometry-optimized K structure.

The space group is I4_1/amd (No. 141, origin choice 2) and the conventional cell measures 4.353, 4.353 and 15.800 Å, with angles of 90.00, 90.00 and 90.00 degrees. The asymmetric unit holds K at (0.000, 0.250, 0.375).

The crystal system is tetragonal. For the density of states at the Fermi level, the calculation gives 0.805 states/eV per atom. The calculation puts the theoretical density at 0.87 g cm⁻³.

Stability summary - winner: #b; margin: 0.046 eV/atom.